Material: Fe2CoAs
Method: DFT, PBE
State: optimized geometry

Results
As for the final energy: -7.190 eV per atom. The calculation puts the formation enthalpy at 0 K at -0.0202 eV/atom. The space group is I4/mmm.

abc: 4.606 4.606 3.509
angles: 67.64 67.64 44.79
Each line ends with the local moment (μB).
Positions (direct):
Fe1 0.000 0.000 0.000  2.32
Fe2 0.500 0.500 0.500  2.32
As1 0.750 0.750 0.750  -0.05
Co1 0.250 0.250 0.250  1.00